[1]
# HfMnZn4, relaxed, DFT PBE
# Uncorrected energy   -3.90 eV/atom
# Calculated density   8.42 g cm⁻³
# Energy of formation   0.131 eV/atom
data_HfMnZn4
_chemical_formula_sum 'Hf4 Mn4 Zn16'
_space_group_name_H-M_alt 'C 1 2/m 1'
_space_group_IT_number 12
_cell_length_a 12.762
_cell_length_b 6.473
_cell_length_c 5.168
_cell_angle_alpha 90.00
_cell_angle_beta 113.86
_cell_angle_gamma 90.00
loop_
_space_group_symop_operation_xyz
'x,y,z'
'-x,-y,-z'
'-x,y,-z'
'x,-y,z'
'x+1/2,y+1/2,z'
'-x+1/2,-y+1/2,-z'
'-x+1/2,y+1/2,-z'
'x+1/2,-y+1/2,z'
loop_
_atom_site_label
_atom_site_fract_x
_atom_site_fract_y
_atom_site_fract_z
Hf1 0.218 0.000 0.220
Mn1 0.000 0.500 0.271
Zn1 0.000 0.185 0.000
Zn2 0.114 0.200 0.615
Zn3 0.184 0.500 0.182

***

[2]
# SmHo3As4, relaxed, DFT PBE
# Uncorrected energy   -6.16 eV/atom
# Calculated density   7.89 g cm⁻³
# Energy of formation   -1.525 eV/atom
data_SmHo3As4
_chemical_formula_sum 'Sm1 Ho3 As4'
_space_group_name_H-M_alt 'P m -3 m'
_space_group_IT_number 221
_space_group_name_Hall '-P 4 2 3'
_cell_length_a 5.837
_cell_length_b 5.837
_cell_length_c 5.837
_cell_angle_alpha 90.00
_cell_angle_beta 90.00
_cell_angle_gamma 90.00
loop_
_atom_site_label
_atom_site_fract_x
_atom_site_fract_y
_atom_site_fract_z
Sm1 0.000 0.000 0.000
Ho1 0.000 0.500 0.500
As1 0.000 0.000 0.500
As2 0.500 0.500 0.500

***

[3]
# Mg2ScSb, relaxed, DFT PBE
# Uncorrected energy   -3.60 eV/atom
# Calculated density   3.80 g cm⁻³
# Energy relative to the elements, uncorrected   -192 meV/atom
data_Mg2ScSb
_chemical_formula_sum 'Mg2 Sc1 Sb1'
_space_group_name_H-M_alt 'P 1 2/m 1'
_space_group_IT_number 10
_cell_length_a 3.246
_cell_length_b 5.329
_cell_length_c 5.500
_cell_angle_alpha 90.00
_cell_angle_beta 98.61
_cell_angle_gamma 90.00
loop_
_space_group_symop_operation_xyz
'x,y,z'
'-x,-y,-z'
'-x,y,-z'
'x,-y,z'
loop_
_atom_site_label
_atom_site_fract_x
_atom_site_fract_y
_atom_site_fract_z
Mg1 0.169 0.000 0.252
Sc1 0.500 0.500 0.000
Sb1 0.000 0.500 0.500